[1]
Here is crystalline MoPd2Rh at its relaxed geometry from Alexandria via LeMat-Bulk. Energies are from PBE.

energy of formation from the pure elements = -0.380 eV/f.u.
DOS(E_F) = 0.94 states/eV per atom
ΔE to the lowest computed polymorph = 11 meV per atom

Cell: 9.1929 9.1929 9.1929 Å, 17.38 17.38 17.38°
Atoms (fractional coordinates):
Rh1 0.2537 0.2537 0.2537
Pd1 0.7478 0.7478 0.7478
Pd2 0.5007 0.5007 0.5007
Mo1 0.9978 0.9978 0.9978



[2]
Here is crystalline Mo2PdRh at its relaxed geometry from Alexandria via LeMat-Bulk. Energies are from PBE.

energy of formation from the pure elements = -0.350 eV/f.u.
DOS(E_F) = 0.67 states/eV per atom
ΔE to the lowest computed polymorph = 0 meV per atom

Cell: 2.7351 2.7351 8.0659 Å, 90.00 90.00 90.02°
Atoms (fractional coordinates):
Pd1 0.5000 0.5000 0.0000
Mo1 0.0000 0.0000 0.7434
Mo2 0.0000 0.0000 0.2566
Rh1 0.5000 0.5000 0.5000



[3]
Here is crystalline ZnMoPdRh2 at its relaxed geometry from Alexandria via LeMat-Bulk. Energies are from PBE.

energy of formation from the pure elements = 5.321 eV/f.u.
DOS(E_F) = 0.83 states/eV per atom

Cell: 4.6621 4.8181 4.6621 Å, 90.00 90.00 90.00°
Atoms (fractional coordinates):
Pd1 0.0000 0.5000 0.0000
Zn1 0.5000 0.5000 0.5000
Mo1 0.0000 0.0000 0.0000
Rh1 0.5000 0.0000 0.0000
Rh2 0.0000 0.0000 0.5000



[4]
Here is crystalline MoPd3Ru at its relaxed geometry from Alexandria via LeMat-Bulk. Energies are from PBE.

energy of formation from the pure elements = 7.891 eV/f.u.
DOS(E_F) = 1.24 states/eV per atom
ΔE to the lowest computed polymorph = 0 meV per atom

Cell: 4.7226 4.7226 4.7226 Å, 90.00 90.00 90.00°
Atoms (fractional coordinates):
Mo1 0.0000 0.0000 0.0000
Pd1 0.5000 0.0000 0.0000
Pd2 0.0000 0.0000 0.5000
Pd3 0.0000 0.5000 0.0000
Ru1 0.5000 0.5000 0.5000



[5]
Here is crystalline MoPdRu at its relaxed geometry from Alexandria via LeMat-Bulk. Energies are from PBE.

energy of formation from the pure elements = 0.655 eV/f.u.
DOS(E_F) = 1.23 states/eV per atom
ΔE to the lowest computed polymorph = 193 meV per atom

Cell: 4.4340 5.0804 5.4095 Å, 120.08 90.00 115.87°
Atoms (fractional coordinates):
Ru1 0.6599 0.3197 0.1626
Ru2 0.3401 0.6803 0.8374
Pd1 0.3301 0.6602 0.3417
Pd2 0.6699 0.3398 0.6583
Mo1 0.0222 0.0444 0.7785
Mo2 0.9778 0.9556 0.2215



[6]
Here is crystalline MoPdRu at its relaxed geometry from Alexandria via LeMat-Bulk. Energies are from PBE.

energy of formation from the pure elements = 0.134 eV/f.u.
DOS(E_F) = 0.86 states/eV per atom
ΔE to the lowest computed polymorph = 19 meV per atom

Cell: 2.7689 2.7689 6.7901 Å, 90.00 90.00 120.00°
Atoms (fractional coordinates):
Mo1 0.6667 0.3333 0.3424
Pd1 0.0000 0.0000 0.0024
Ru1 0.3333 0.6667 0.6553



[7]
Here is crystalline MoPdRu at its relaxed geometry from Alexandria via LeMat-Bulk. Energies are from PBE.

energy of formation from the pure elements = 0.116 eV/f.u.
DOS(E_F) = 0.69 states/eV per atom
ΔE to the lowest computed polymorph = 13 meV per atom

Cell: 2.7852 2.7852 6.1533 Å, 103.08 103.08 90.00°
Atoms (fractional coordinates):
Mo1 0.6740 0.6740 0.3480
Ru1 0.3252 0.3252 0.6503
Pd1 0.0008 0.0008 0.0017



[8]
Here is crystalline MoPd2Ru at its relaxed geometry from Alexandria via LeMat-Bulk. Energies are from PBE.

energy of formation from the pure elements = 5.754 eV/f.u.
DOS(E_F) = 0.75 states/eV per atom
ΔE to the lowest computed polymorph = 1029 meV per atom

Cell: 5.6397 5.6397 6.8480 Å, 65.68 65.68 90.00°
Atoms (fractional coordinates):
Mo1 0.2500 0.7500 0.5000
Mo2 0.5000 0.5000 0.0000
Pd1 0.8750 0.8781 0.7500
Pd2 0.1219 0.6250 0.2500
Pd3 0.6281 0.1250 0.2500
Pd4 0.3750 0.3719 0.7500
Ru1 0.7500 0.2500 0.5000
Ru2 0.0000 0.0000 0.0000



[9]
Here is crystalline MoPd2Ru at its relaxed geometry from Alexandria via LeMat-Bulk. Energies are from PBE.

energy of formation from the pure elements = 1.639 eV/f.u.
DOS(E_F) = 1.56 states/eV per atom
ΔE to the lowest computed polymorph = 0 meV per atom

Cell: 4.4188 4.4188 4.4188 Å, 60.00 60.00 60.00°
Atoms (fractional coordinates):
Pd1 0.7500 0.7500 0.7500
Pd2 0.2500 0.2500 0.2500
Ru1 0.5000 0.5000 0.5000
Mo1 0.0000 0.0000 0.0000



[10]
Here is crystalline MoPdRu at its relaxed geometry from Alexandria via LeMat-Bulk. Energies are from PBE.

energy of formation from the pure elements = 0.076 eV/f.u.
DOS(E_F) = 0.95 states/eV per atom
ΔE to the lowest computed polymorph = 0 meV per atom

Cell: 3.8680 3.8547 6.3084 Å, 107.79 90.00 90.00°
Atoms (fractional coordinates):
Pd1 0.7500 0.2510 0.5020
Pd2 0.2500 0.7490 0.4980
Mo1 0.7500 0.9223 0.8446
Mo2 0.2500 0.0777 0.1554
Ru1 0.2500 0.4179 0.8358
Ru2 0.7500 0.5821 0.1642



[11]
Here is crystalline MoPdRu at its relaxed geometry from Alexandria via LeMat-Bulk. Energies are from PBE.

energy of formation from the pure elements = 0.747 eV/f.u.
DOS(E_F) = 1.93 states/eV per atom
ΔE to the lowest computed polymorph = 224 meV per atom

Cell: 2.6907 4.4123 4.4123 Å, 120.00 90.00 90.00°
Atoms (fractional coordinates):
Ru1 0.1674 0.0000 0.0000
Pd1 0.1662 0.6667 0.3333
Mo1 0.6664 0.3333 0.6667



[12]
Here is crystalline Mo2PdRuS at its relaxed geometry from Alexandria via LeMat-Bulk. Energies are from PBE.

DOS(E_F) = 0.81 states/eV per atom

Cell: 4.4002 4.4002 4.2868 Å, 90.00 90.00 90.00°
Atoms (fractional coordinates):
Pd1 0.5000 0.5000 0.5000
Mo1 0.0000 0.5000 0.0000
Mo2 0.5000 0.0000 0.0000
Ru1 0.0000 0.0000 0.5000
S1 0.0000 0.0000 0.0000



[13]
Here is crystalline ScMo2PdRu at its relaxed geometry from Alexandria via LeMat-Bulk. Energies are from PBE.

energy of formation from the pure elements = 5.033 eV/f.u.
DOS(E_F) = 1.37 states/eV per atom

Cell: 4.6506 4.8797 4.6506 Å, 90.00 90.00 90.00°
Atoms (fractional coordinates):
Mo1 0.0000 0.0000 0.5000
Mo2 0.5000 0.0000 0.0000
Ru1 0.0000 0.0000 0.0000
Pd1 0.5000 0.5000 0.5000
Sc1 0.0000 0.5000 0.0000



[14]
Here is crystalline Te2MoPdRu at its relaxed geometry from Alexandria via LeMat-Bulk. Energies are from PBE.

DOS(E_F) = 1.37 states/eV per atom

Cell: 5.1727 4.7132 5.1727 Å, 90.00 90.00 90.00°
Atoms (fractional coordinates):
Te1 0.0000 0.0000 0.5000
Te2 0.5000 0.0000 0.0000
Pd1 0.5000 0.5000 0.5000
Ru1 0.0000 0.0000 0.0000
Mo1 0.0000 0.5000 0.0000



[15]
Here is crystalline Mo2PdRuW at its relaxed geometry from Alexandria via LeMat-Bulk. Energies are from PBE.

energy of formation from the pure elements = 9.667 eV/f.u.
DOS(E_F) = 1.15 states/eV per atom

Cell: 4.6792 4.7677 4.6792 Å, 90.00 90.00 90.00°
Atoms (fractional coordinates):
Mo1 0.0000 0.0000 0.5000
Mo2 0.5000 0.0000 0.0000
Pd1 0.0000 0.5000 0.0000
Ru1 0.5000 0.5000 0.5000
W1 0.0000 0.0000 0.0000



[16]
Here is crystalline MoPd3S at its relaxed geometry from Alexandria via LeMat-Bulk. Energies are from PBE.

DOS(E_F) = 0.69 states/eV per atom
ΔE to the lowest computed polymorph = 0 meV per atom

Cell: 4.4952 4.4952 4.4952 Å, 90.00 90.00 90.00°
Atoms (fractional coordinates):
Pd1 0.5000 0.0000 0.0000
Pd2 0.0000 0.5000 0.0000
Pd3 0.0000 0.0000 0.5000
S1 0.0000 0.0000 0.0000
Mo1 0.5000 0.5000 0.5000



[17]
Here is crystalline Mo4Pd2S at its relaxed geometry from Alexandria via LeMat-Bulk. Energies are from PBE.

DOS(E_F) = 1.52 states/eV per atom

Cell: 4.3837 4.3837 7.1521 Å, 72.15 72.15 90.00°
Atoms (fractional coordinates):
Pd1 0.3657 0.3657 0.2687
Pd2 0.6343 0.6343 0.7313
S1 0.0000 0.0000 0.0000
Mo1 0.5000 0.0000 0.0000
Mo2 0.0000 0.5000 0.0000
Mo3 0.8264 0.8264 0.3473
Mo4 0.1736 0.1736 0.6527



[18]
Here is crystalline Mo3PdS4 at its relaxed geometry from Alexandria via LeMat-Bulk. Energies are from PBE.

DOS(E_F) = 0.53 states/eV per atom

Cell: 6.4778 6.5962 6.4971 Å, 90.00 90.00 90.00°
Atoms (fractional coordinates):
Mo1 0.9338 0.2496 0.5000
Mo2 0.5418 0.3703 0.2179
Mo3 0.4338 0.7504 0.0000
Mo4 0.5418 0.3703 0.7821
Mo5 0.0418 0.6297 0.7179
Mo6 0.0418 0.6297 0.2821
S1 0.1921 0.3163 0.2489
S2 0.1921 0.3163 0.7511
S3 0.5917 0.0880 0.0000
S4 0.6921 0.6837 0.2511
S5 0.0913 0.8641 0.0000
S6 0.6921 0.6837 0.7489
S7 0.5913 0.1359 0.5000
S8 0.0917 0.9120 0.5000
Pd1 0.9306 0.2148 0.0000
Pd2 0.4306 0.7852 0.5000



[19]
Here is crystalline Mo3PdS at its relaxed geometry from Alexandria via LeMat-Bulk. Energies are from PBE.

DOS(E_F) = 1.27 states/eV per atom
ΔE to the lowest computed polymorph = 0 meV per atom

Cell: 4.4008 4.4008 4.4008 Å, 90.00 90.00 90.00°
Atoms (fractional coordinates):
Mo1 0.5000 0.0000 0.0000
Mo2 0.0000 0.5000 0.0000
Mo3 0.0000 0.0000 0.5000
Pd1 0.5000 0.5000 0.5000
S1 0.0000 0.0000 0.0000



[20]
Here is crystalline Mo3PdS at its relaxed geometry from Alexandria via LeMat-Bulk. Energies are from PBE.

DOS(E_F) = 1.19 states/eV per atom
ΔE to the lowest computed polymorph = 1590 meV per atom

Cell: 4.7505 4.7505 4.7505 Å, 90.00 90.00 90.00°
Atoms (fractional coordinates):
Pd1 0.0000 0.0000 0.0000
Mo1 0.0000 0.5000 0.0000
Mo2 0.5000 0.0000 0.0000
Mo3 0.0000 0.0000 0.5000
S1 0.5000 0.5000 0.5000



Calculated uncorrected energy, -28.9, -34.6, -26.7, -27.8, -49.3, -25.2, -25.2, -49.5, -28.9, -50.4, -24.6, -37.9, -37.4, -26.1, -39.4, -28.3, -52.9, -113.8, -39.1, -31.1 eV for the cell shown (same order as the records).